# La6Dy8Mg PBE-GGA optimized geometry
data_La6Dy8Mg
_chemical_formula_sum 'La6 Dy8 Mg1'
_symmetry_space_group_name_H-M 'P -3'
_symmetry_Int_Tables_number 147
_cell_length_a 9.6120
_cell_length_b 9.6120
_cell_length_c 6.3873
_cell_angle_alpha 90.00
_cell_angle_beta 90.00
_cell_angle_gamma 120.00
loop_
_symmetry_equiv_pos_as_xyz
'x,y,z'
'-x,-y,-z'
'-y,x-y,z'
'y,-x+y,-z'
'-x+y,-x,z'
'x-y,x,-z'
loop_
_atom_site_label
_atom_site_type_symbol
_atom_site_fract_x
_atom_site_fract_y
_atom_site_fract_z
La1 La 0.0869 0.6385 0.1881
Dy1 Dy 0.0408 0.7781 0.6884
Dy2 Dy 0.3333 0.6667 0.6689
Mg1 Mg 0.0000 0.0000 0.0000
# * energy of formation: 121 meV/atom
# * V: 34.07 Å³ per atom